Entry 1:
The following is a PBE calculation of a geometry-optimized Pr3Ta3W2N12 structure, from the Open Quantum Materials Database.

a = 11.300 Å, b = 11.300 Å, c = 11.300 Å
α = 109.47°, β = 109.47°, γ = 109.47°
Atoms (fractional coordinates):
1 Pr 0.125 0.250 0.375
2 Pr 0.125 0.375 0.750
3 Pr 0.250 0.375 0.125
4 Pr 0.250 0.875 0.625
5 Pr 0.375 0.125 0.250
6 Pr 0.375 0.750 0.125
7 Pr 0.625 0.250 0.875
8 Pr 0.625 0.875 0.750
9 Pr 0.750 0.125 0.375
10 Pr 0.750 0.625 0.875
11 Pr 0.875 0.625 0.250
12 Pr 0.875 0.750 0.625
13 Ta 0.125 0.750 0.875
14 Ta 0.125 0.875 0.250
15 Ta 0.250 0.125 0.875
16 Ta 0.250 0.625 0.375
17 Ta 0.375 0.250 0.625
18 Ta 0.375 0.625 0.750
19 Ta 0.625 0.375 0.250
20 Ta 0.625 0.750 0.375
21 Ta 0.750 0.375 0.625
22 Ta 0.750 0.875 0.125
23 Ta 0.875 0.125 0.750
24 Ta 0.875 0.250 0.125
25 W 0.000 0.000 0.000
26 W 0.000 0.000 0.500
27 W 0.000 0.500 0.000
28 W 0.000 0.500 0.500
29 W 0.500 0.000 0.000
30 W 0.500 0.000 0.500
31 W 0.500 0.500 0.000
32 W 0.500 0.500 0.500
33 N 0.017 0.194 0.114
34 N 0.017 0.323 0.904
35 N 0.080 0.694 0.677
36 N 0.080 0.886 0.404
37 N 0.096 0.614 0.420
38 N 0.096 0.983 0.677
39 N 0.114 0.017 0.194
40 N 0.114 0.596 0.920
41 N 0.177 0.194 0.580
42 N 0.177 0.483 0.596
43 N 0.194 0.114 0.017
44 N 0.194 0.580 0.177
45 N 0.306 0.323 0.920
46 N 0.306 0.483 0.386
47 N 0.323 0.904 0.017
48 N 0.323 0.920 0.306
49 N 0.386 0.306 0.483
50 N 0.386 0.580 0.904
51 N 0.404 0.080 0.886
52 N 0.404 0.823 0.517
53 N 0.420 0.096 0.614
54 N 0.420 0.823 0.806
55 N 0.483 0.386 0.306
56 N 0.483 0.596 0.177
57 N 0.517 0.404 0.823
58 N 0.517 0.614 0.694
59 N 0.580 0.177 0.194
60 N 0.580 0.904 0.386
61 N 0.596 0.177 0.483
62 N 0.596 0.920 0.114
63 N 0.614 0.420 0.096
64 N 0.614 0.694 0.517
65 N 0.677 0.080 0.694
66 N 0.677 0.096 0.983
67 N 0.694 0.517 0.614
68 N 0.694 0.677 0.080
69 N 0.806 0.420 0.823
70 N 0.806 0.886 0.983
71 N 0.823 0.517 0.404
72 N 0.823 0.806 0.420
73 N 0.886 0.404 0.080
74 N 0.886 0.983 0.806
75 N 0.904 0.017 0.323
76 N 0.904 0.386 0.580
77 N 0.920 0.114 0.596
78 N 0.920 0.306 0.323
79 N 0.983 0.677 0.096
80 N 0.983 0.806 0.886

E	-0.716	Ry/atom

---

Entry 2:
The following is a PBE calculation of a geometry-optimized YHoNb2Sn2 structure, from the Open Quantum Materials Database.

a = 4.197 Å, b = 4.197 Å, c = 8.138 Å
α = 90.00°, β = 90.00°, γ = 90.00°
Atoms (fractional coordinates):
1 Y 0.000 0.000 0.000
2 Ho 0.500 0.500 0.701
3 Nb 0.000 0.500 0.352
4 Nb 0.500 0.000 0.352
5 Sn 0.000 0.000 0.605
6 Sn 0.500 0.500 0.098

E	-0.514	Ry/atom

---

Entry 3:
The following is a PBE calculation of a geometry-optimized CsNaTePt structure, from the Open Quantum Materials Database.

a = 5.399 Å, b = 5.399 Å, c = 5.399 Å
α = 60.00°, β = 60.00°, γ = 60.00°
Atoms (fractional coordinates):
1 Cs 0.000 0.000 0.000
2 Na 0.250 0.250 0.250
3 Te 0.750 0.750 0.750
4 Pt 0.500 0.500 0.500

E	-0.208	Ry/atom
relative energy among the computed polymorphs	90	meV/atom

---

Question: Which formula does entry 1 have?
Answer: Pr3Ta3W2N12